Entry 1:
Density functional theory data (PBE) for a geometry-optimized Tl2SnSb structure.

Geometry as POSCAR:
```
Tl2SnSb
1.0
3.417 0.000 0.000
1.709 2.959 0.000
1.709 0.986 11.872
Sn Tl Sb
1 2 1
Direct
0.000 0.000 0.000
0.089 0.089 0.733
0.911 0.911 0.267
0.500 0.500 0.500
```

Computed properties:
The value obtained for the total DFT energy (no corrections) is -12.39 eV/cell. The uncorrected formation energy comes out at 11.4 kJ per mole of atoms. The polymorph energy (0 for the lowest one) is 74 meV per atom.


Entry 2:
Density functional theory data (PBE) for a geometry-optimized Ba2LaThSb4 structure.

Geometry as POSCAR:
```
Ba2LaThSb4
1.0
-1.820 4.036 1.660
0.906 -2.754 7.692
7.022 4.102 -2.274
Sb La Ba Th
4 1 2 1
Direct
0.500 0.246 0.220
0.000 0.734 0.218
0.500 0.754 0.780
0.000 0.266 0.782
0.000 0.000 0.000
0.500 0.000 0.500
0.000 0.500 0.500
0.500 0.500 0.000
```

Computed properties:
The value obtained for the total DFT energy (no corrections) is -40.82 eV/cell. The uncorrected formation energy comes out at -98.1 kJ per mole of atoms.


Entry 3:
Density functional theory data (PBE) for a geometry-optimized RbMo2PdSe8 structure.

Geometry as POSCAR:
```
RbMo2PdSe8
1.0
6.382 0.000 0.000
3.191 5.527 0.000
3.191 1.842 9.933
Se Mo Rb Pd
8 2 1 1
Direct
0.284 0.931 0.154
0.369 0.716 0.846
0.631 0.284 0.154
0.716 0.069 0.846
0.931 0.631 0.154
0.179 0.179 0.462
0.821 0.821 0.538
0.069 0.369 0.846
0.257 0.257 0.229
0.743 0.743 0.771
0.500 0.500 0.500
0.000 0.000 0.000
```

Computed properties:
The value obtained for the total DFT energy (no corrections) is -59.60 eV/cell. The uncorrected formation energy comes out at -31.4 kJ per mole of atoms.


Entry 4:
Density functional theory data (PBE) for a geometry-optimized Ta3TlBi structure.

Geometry as POSCAR:
```
Ta3TlBi
1.0
5.126 0.000 0.000
0.000 5.126 0.000
0.000 0.000 5.126
Ta Tl Bi
3 1 1
Direct
0.500 0.000 0.000
0.000 0.000 0.500
0.000 0.500 0.000
0.000 0.000 0.000
0.500 0.500 0.500
```

Computed properties:
The value obtained for the total DFT energy (no corrections) is -31.02 eV/cell. The energy of formation from the pure elements is 2157 meV per atom. The polymorph energy (0 for the lowest one) is 0 meV per atom.


Entry 5:
Density functional theory data (PBE) for a geometry-optimized Sm2Y5Ho5 structure.

Geometry as POSCAR:
```
Sm2Y5Ho5
1.0
-3.495 -4.352 -0.776
8.161 -2.386 -2.913
-2.335 0.200 9.393
Ho Y Sm
5 5 2
Direct
0.376 0.752 0.713
0.624 0.248 0.287
0.625 0.249 0.954
0.375 0.751 0.046
0.500 0.000 0.500
0.125 0.249 0.462
0.750 0.500 0.745
0.250 0.500 0.255
0.875 0.751 0.538
0.000 0.000 0.000
0.874 0.748 0.201
0.126 0.252 0.799
```

Computed properties:
The value obtained for the total DFT energy (no corrections) is -63.87 eV/cell. The energy of formation from the pure elements is 64 meV per atom. The polymorph energy (0 for the lowest one) is 42 meV per atom.


Entry 6:
Density functional theory data (PBE) for a geometry-optimized CdSiB2 structure.

Geometry as POSCAR:
```
CdSiB2
1.0
5.293 0.000 0.000
0.000 5.293 0.000
2.646 2.646 4.505
Si Cd B
2 2 4
Direct
0.500 0.500 0.000
0.250 0.750 0.500
0.000 0.000 0.000
0.750 0.250 0.500
0.562 0.125 0.250
0.375 0.438 0.750
0.875 0.812 0.750
0.188 0.625 0.250
```

Computed properties:
The value obtained for the total DFT energy (no corrections) is -32.39 eV/cell. The uncorrected formation energy comes out at 84.4 kJ per mole of atoms. The polymorph energy (0 for the lowest one) is 0 meV per atom.


Entry 7:
Density functional theory data (PBE) for a geometry-optimized BaLiLa2 structure.

Geometry as POSCAR:
```
BaLiLa2
1.0
3.867 0.000 0.000
0.000 6.085 0.000
0.000 0.000 6.448
La Ba Li
2 1 1
Direct
0.000 0.000 0.000
0.500 0.500 0.000
0.000 0.500 0.500
0.500 0.000 0.500
```

Computed properties:
The value obtained for the total DFT energy (no corrections) is -12.98 eV/cell. The energy of formation from the pure elements is 179 meV per atom. The polymorph energy (0 for the lowest one) is 87 meV per atom.


Entry 8:
Density functional theory data (PBE) for a geometry-optimized CeNdYCd structure.

Geometry as POSCAR:
```
CeNdYCd
1.0
-1.723 1.911 -4.828
-1.168 -3.477 -4.059
-5.193 -0.755 -1.545
Nd Y Cd Ce
1 1 1 1
Direct
0.250 0.250 0.250
0.750 0.750 0.750
0.500 0.500 0.500
0.000 0.000 0.000
```

Computed properties:
The value obtained for the total DFT energy (no corrections) is -17.86 eV/cell. The energy of formation from the pure elements is 56 meV per atom.


Entry 9:
Density functional theory data (PBE) for a geometry-optimized RbInIrO6 structure.

Geometry as POSCAR:
```
RbInIrO6
1.0
-0.489 -0.885 5.488
-1.869 -4.910 1.879
5.761 -2.128 0.170
O Ir Rb In
6 1 1 1
Direct
0.038 0.379 0.319
0.038 0.583 0.681
0.379 0.038 0.681
0.583 0.038 0.319
0.583 0.379 0.681
0.379 0.583 0.319
0.333 0.333 0.500
0.000 0.000 0.000
0.667 0.667 0.500
```

Computed properties:
The value obtained for the total DFT energy (no corrections) is -50.38 eV/cell. The uncorrected formation energy comes out at -86.5 kJ per mole of atoms.


Entry 10:
Density functional theory data (PBE) for a geometry-optimized Dy2TaBiO8 structure.

Geometry as POSCAR:
```
Dy2TaBiO8
1.0
5.042 -0.103 -0.003
-0.089 5.041 -0.006
0.004 0.008 6.740
O Ta Dy Bi
8 1 2 1
Direct
0.704 0.705 0.500
0.296 0.295 0.500
0.716 0.717 0.000
0.182 0.818 0.767
0.284 0.283 0.000
0.182 0.818 0.234
0.818 0.182 0.233
0.818 0.182 0.766
0.000 0.000 0.000
0.500 0.500 0.243
0.500 0.500 0.757
0.000 0.000 0.500
```

Computed properties:
The value obtained for the total DFT energy (no corrections) is -95.04 eV/cell. The uncorrected formation energy comes out at -244.7 kJ per mole of atoms.


Entry 11:
Density functional theory data (PBE) for a geometry-optimized LaZn5Ga2 structure.

Geometry as POSCAR:
```
LaZn5Ga2
1.0
-0.903 3.962 -0.685
-5.318 1.508 3.344
1.367 3.377 5.336
Zn Ga La
5 2 1
Direct
0.637 0.181 0.546
0.000 0.500 0.500
0.637 0.546 0.181
0.363 0.454 0.819
0.363 0.819 0.454
0.746 0.754 0.754
0.254 0.246 0.246
0.000 0.000 0.000
```

Computed properties:
The value obtained for the total DFT energy (no corrections) is -19.67 eV/cell. The energy of formation from the pure elements is -290 meV per atom.


Entry 12:
Density functional theory data (PBE) for a geometry-optimized K2BeOs structure.

Geometry as POSCAR:
```
K2BeOs
1.0
-1.378 -1.123 2.145
-0.925 -0.869 -2.480
7.502 -8.712 0.257
Os Be K
1 1 2
Direct
0.500 0.500 0.250
0.500 0.500 0.750
0.000 0.000 0.493
0.000 0.000 0.007
```

Computed properties:
The value obtained for the total DFT energy (no corrections) is -11.59 eV/cell. The energy of formation from the pure elements is 1390 meV per atom.


Entry 13:
Density functional theory data (PBE) for a geometry-optimized HoPd4Pb structure.

Geometry as POSCAR:
```
HoPd4Pb
1.0
-0.332 5.353 0.831
-2.854 1.923 4.197
2.563 2.256 4.219
Pd Ho Pb
4 1 1
Direct
0.125 0.625 0.625
0.625 0.125 0.625
0.625 0.625 0.125
0.625 0.625 0.625
0.000 0.000 0.000
0.250 0.250 0.250
```

Computed properties:
The value obtained for the total DFT energy (no corrections) is -32.35 eV/cell. The energy of formation from the pure elements is -549 meV per atom.


Entry 14:
Density functional theory data (PBE) for a geometry-optimized Na2ScTe structure.

Geometry as POSCAR:
```
Na2ScTe
1.0
-5.072 7.710 2.194
-0.902 -3.129 8.910
-0.587 3.664 6.277
Na Te Sc
4 2 2
Direct
0.679 0.125 0.250
0.875 0.929 0.750
0.071 0.625 0.250
0.375 0.321 0.750
0.750 0.250 0.500
0.000 0.000 0.000
0.500 0.500 0.000
0.250 0.750 0.500
```

Computed properties:
The value obtained for the total DFT energy (no corrections) is -25.42 eV/cell. The uncorrected formation energy comes out at -14.5 kJ per mole of atoms.


Entry 15:
Density functional theory data (PBE) for a geometry-optimized LaTb2Ho12 structure.

Geometry as POSCAR:
```
LaTb2Ho12
1.0
6.379 0.000 0.000
0.000 6.379 0.000
0.000 0.000 25.045
Ho Tb La
24 4 2
Direct
0.669 0.831 0.560
0.183 0.317 0.120
0.500 0.500 0.782
0.331 0.831 0.440
0.817 0.683 0.120
0.831 0.331 0.560
0.831 0.669 0.440
0.500 0.500 0.341
0.317 0.183 0.880
0.500 0.500 0.218
0.683 0.817 0.880
0.683 0.183 0.120
0.317 0.817 0.120
0.331 0.169 0.560
0.169 0.331 0.440
0.000 0.000 0.782
0.000 0.000 0.659
0.169 0.669 0.560
0.669 0.169 0.440
0.817 0.317 0.880
0.500 0.500 0.659
0.183 0.683 0.880
0.000 0.000 0.341
0.000 0.000 0.218
0.000 0.500 0.276
0.000 0.500 0.724
0.500 0.000 0.276
0.500 0.000 0.724
0.500 0.000 0.000
0.000 0.500 0.000
```

Computed properties:
The value obtained for the total DFT energy (no corrections) is -128.82 eV/cell. The energy of formation from the pure elements is 314 meV per atom.


Entry 16:
Density functional theory data (PBE) for a geometry-optimized SmErCoRh structure.

Geometry as POSCAR:
```
SmErCoRh
1.0
-1.672 -4.446 -0.851
0.006 -3.296 3.524
-4.165 -1.430 1.973
Rh Sm Er Co
1 1 1 1
Direct
0.000 0.000 0.000
0.750 0.750 0.750
0.250 0.250 0.250
0.500 0.500 0.500
```

Computed properties:
The value obtained for the total DFT energy (no corrections) is -25.52 eV/cell. The energy of formation from the pure elements is -445 meV per atom.


Entry 17:
Density functional theory data (PBE) for a geometry-optimized Tb2Y3ScSe6 structure.

Geometry as POSCAR:
```
Tb2Y3ScSe6
1.0
-2.630 -2.419 -1.905
3.979 -6.530 2.800
-4.680 2.773 7.245
Se Tb Y Sc
6 2 3 1
Direct
0.339 0.921 0.678
0.998 0.239 0.997
0.661 0.079 0.322
0.002 0.761 0.003
0.666 0.583 0.332
0.334 0.417 0.668
0.167 0.333 0.334
0.833 0.667 0.666
0.830 0.165 0.660
0.500 0.500 0.000
0.170 0.835 0.340
0.500 0.000 0.000
```

Computed properties:
The value obtained for the total DFT energy (no corrections) is -76.67 eV/cell. The uncorrected formation energy comes out at -167.1 kJ per mole of atoms.


Entry 18:
Density functional theory data (PBE) for a geometry-optimized Hf2Ti3Co2 structure.

Geometry as POSCAR:
```
Hf2Ti3Co2
1.0
-0.785 1.935 -3.182
-4.534 -2.202 2.055
2.181 5.732 2.947
Co Hf Ti
2 2 3
Direct
0.852 0.704 0.791
0.148 0.296 0.209
0.142 0.284 0.793
0.858 0.716 0.207
0.628 0.256 0.451
0.372 0.744 0.549
0.500 0.000 0.000
```

Computed properties:
The value obtained for the total DFT energy (no corrections) is -59.29 eV/cell. The energy of formation from the pure elements is -212 meV per atom.


Entry 19:
Density functional theory data (PBE) for a geometry-optimized ZrNbHRh2 structure.

Geometry as POSCAR:
```
ZrNbHRh2
1.0
-3.490 -1.884 0.970
1.017 -3.128 -2.419
1.888 -1.854 3.192
Rh H Zr Nb
2 1 1 1
Direct
0.000 0.500 0.000
0.500 0.000 0.000
0.000 0.000 0.000
0.000 0.000 0.500
0.500 0.500 0.500
```

Computed properties:
The value obtained for the total DFT energy (no corrections) is -38.57 eV/cell. The polymorph energy (0 for the lowest one) is 16 meV per atom.


Entry 20:
Density functional theory data (PBE) for a geometry-optimized YMgPb2 structure.

Geometry as POSCAR:
```
YMgPb2
1.0
-2.840 2.901 2.348
-2.798 -1.687 -1.300
-0.986 -4.878 4.834
Mg Y Pb
1 1 2
Direct
0.500 0.750 0.750
0.500 0.250 0.250
0.000 0.614 0.494
0.000 0.886 0.006
```

Computed properties:
The value obtained for the total DFT energy (no corrections) is -16.37 eV/cell. The energy of formation from the pure elements is -224 meV per atom.


Summary of D(E_F) in states/eV/atom
0.548 0.965 0.525 1.693 1.863 0.393 1.521 2.427 0.523 0.052 0.330 0.676 0.834 1.065 1.508 0.367 0.509 1.293 0.818 0.586
(order as listed above)